1.
BaEu2Ir | PBE-GGA | relaxed

It has space group R-3m (No. 166, hexagonal axes), with a = 4.1595 Å, b = 4.1595 Å, c = 33.1437 Å, α = 90.00°, β = 90.00° and γ = 120.00°. Symmetry generates all atoms from Ba at (0.0000, 0.0000, 0.0000), Eu at (0.0000, 0.0000, 0.1198) and Ir at (0.0000, 0.0000, 0.5000).

The formation energy is -6.0 kJ per mole of atoms. Its energy above the lowest structure with this stoichiometry is 64 meV per atom. The density of states at the Fermi level is 45.6 states/eV/cell. Its electronic total energy is -7.896 eV per atom.

2.
BaEuIr | PBE-GGA | relaxed

It has space group I4mm (No. 107), with a = 3.7003 Å, b = 3.7003 Å, c = 14.6460 Å, α = 90.00°, β = 90.00° and γ = 90.00°. Symmetry generates all atoms from Ba at (0.0000, 0.0000, 0.0000), Eu at (0.0000, 0.0000, 0.2360) and Ir at (0.0000, 0.0000, 0.6331).

The formation energy is -10.2 kJ per mole of atoms. Its energy above the lowest structure with this stoichiometry is 33 meV per atom. The density of states at the Fermi level is 22.3 states/eV/cell. Its electronic total energy is -7.125 eV per atom.

3.
BaEuIr | PBE-GGA | relaxed

It has space group P3m1 (No. 156), with a = 4.3900 Å, b = 4.3900 Å, c = 6.8583 Å, α = 90.00°, β = 90.00° and γ = 120.00°. Symmetry generates all atoms from Ba at (0.0000, 0.0000, 0.0000), Eu at (0.6667, 0.3333, 0.4540) and Ir at (0.3333, 0.6667, 0.2592).

The formation energy is -10.9 kJ per mole of atoms. Its energy above the lowest structure with this stoichiometry is 26 meV per atom. The density of states at the Fermi level is 12.0 states/eV/cell. Its electronic total energy is -7.132 eV per atom.

4.
K2BaEu | PBE-GGA | relaxed

It has space group R-3m (No. 166, hexagonal axes), with a = 4.2702 Å, b = 4.2702 Å, c = 47.6943 Å, α = 90.00°, β = 90.00° and γ = 120.00°. Symmetry generates all atoms from K at (0.0000, 0.0000, 0.0853), Ba at (0.0000, 0.0000, 0.5000) and Eu at (0.0000, 0.0000, 0.0000).

The formation energy is 19.7 kJ per mole of atoms. The density of states at the Fermi level is 13.9 states/eV/cell. Its electronic total energy is -3.394 eV per atom.